Density functional theory data (PBE) for Pr4NiSe2S after structural relaxation.

a b c (Å): 7.314 4.115 7.384
angles (deg): 90.00 109.24 90.00
Fractional positions:
Pr 0.236 0.000 0.229
Pr 0.255 0.500 0.762
Pr 0.745 0.500 0.238
Pr 0.764 0.000 0.771
Ni 0.000 0.500 0.000
Se 0.000 0.000 0.500
Se 0.500 0.500 0.500
S 0.500 0.000 0.000

**Density of states at the Fermi level**: 5.05 states/eV per cell
**Symmetry**: P2/m, No. 10
**M_tot**: 0.000 μB per formula unit
**Calculated density**: 6.43 g/cm3
**Final energy**: -5.973 eV per atom
**Formation energy (no corrections)**: -1.473 eV/atom

=====

Density functional theory data (PBE) for Pr8NiTe4S3 after structural relaxation.

a b c (Å): 8.794 8.794 8.794
angles (deg): 58.08 58.08 58.08
Fractional positions:
Pr 0.237 0.237 0.237
Pr 0.244 0.735 0.735
Pr 0.265 0.265 0.756
Pr 0.265 0.756 0.265
Pr 0.735 0.244 0.735
Pr 0.735 0.735 0.244
Pr 0.756 0.265 0.265
Pr 0.763 0.763 0.763
Ni 0.500 0.500 0.500
Te 0.000 0.000 0.000
Te 0.000 0.500 0.500
Te 0.500 0.000 0.500
Te 0.500 0.500 0.000
S 0.000 0.000 0.500
S 0.000 0.500 0.000
S 0.500 0.000 0.000

**Density of states at the Fermi level**: 7.30 states/eV per cell
**Symmetry**: R-3m, No. 166
**M_tot**: 0.000 μB per formula unit
**Calculated density**: 6.48 g/cm3
**Final energy**: -5.826 eV per atom
**Formation energy (no corrections)**: -1.515 eV/atom

=====

Density functional theory data (PBE) for PrNi4Sb after structural relaxation.

a b c (Å): 5.095 5.095 5.095
angles (deg): 60.00 60.00 60.00
Fractional positions:
Pr 0.000 0.000 0.000
Ni 0.126 0.625 0.625
Ni 0.625 0.126 0.625
Ni 0.625 0.625 0.126
Ni 0.625 0.625 0.625
Sb 0.250 0.250 0.250

**Density of states at the Fermi level**: 6.69 states/eV per cell
**Symmetry**: F-43m, No. 216
**M_tot**: 0.440 μB per formula unit
**Calculated density**: 8.83 g/cm3
**Final energy**: -5.571 eV per atom
**Formation energy (no corrections)**: -0.233 eV/atom

=====

Density functional theory data (PBE) for PrNiSb after structural relaxation.

a b c (Å): 11.811 4.239 5.688
angles (deg): 90.00 101.81 90.00
Fractional positions:
Pr 0.122 0.000 0.302
Pr 0.378 0.500 0.698
Pr 0.622 0.500 0.302
Pr 0.878 0.000 0.698
Ni 0.220 0.000 0.859
Ni 0.280 0.500 0.141
Ni 0.720 0.500 0.859
Ni 0.780 0.000 0.141
Sb 0.104 0.500 0.779
Sb 0.396 0.000 0.221
Sb 0.604 0.000 0.779
Sb 0.896 0.500 0.221

**Density of states at the Fermi level**: 10.45 states/eV per cell
**Symmetry**: C2/m, No. 12
**M_tot**: 0.000 μB per formula unit
**Calculated density**: 7.66 g/cm3
**Final energy**: -5.589 eV per atom
**Formation energy (no corrections)**: -0.695 eV/atom

=====

Density functional theory data (PBE) for Pr3Ni6Sb5 after structural relaxation.

a b c (Å): 4.323 12.915 10.036
angles (deg): 90.00 90.00 90.00
Fractional positions:
Pr 0.250 0.081 0.250
Pr 0.250 0.419 0.250
Pr 0.250 0.750 0.240
Pr 0.750 0.250 0.760
Pr 0.750 0.581 0.750
Pr 0.750 0.919 0.750
Ni 0.250 0.073 0.611
Ni 0.250 0.250 0.003
Ni 0.250 0.250 0.506
Ni 0.250 0.427 0.611
Ni 0.250 0.584 0.000
Ni 0.250 0.916 0.000
Ni 0.750 0.084 0.000
Ni 0.750 0.416 0.000
Ni 0.750 0.573 0.389
Ni 0.750 0.750 0.494
Ni 0.750 0.750 0.997
Ni 0.750 0.927 0.389
Sb 0.250 0.083 0.865
Sb 0.250 0.417 0.865
Sb 0.250 0.616 0.512
Sb 0.250 0.750 0.861
Sb 0.250 0.884 0.512
Sb 0.750 0.116 0.488
Sb 0.750 0.250 0.139
Sb 0.750 0.384 0.488
Sb 0.750 0.583 0.135
Sb 0.750 0.917 0.135

**Density of states at the Fermi level**: 18.53 states/eV per cell
**Symmetry**: Pmmn, No. 59
**M_tot**: 0.000 μB per formula unit
**Calculated density**: 8.20 g/cm3
**Final energy**: -5.623 eV per atom
**Formation energy (no corrections)**: -0.649 eV/atom

=====

Density functional theory data (PBE) for Pr2NiSb4 after structural relaxation.

a b c (Å): 4.404 4.404 9.766
angles (deg): 90.00 90.00 90.00
Fractional positions:
Pr 0.000 0.500 0.237
Pr 0.500 0.000 0.763
Ni 0.500 0.500 0.000
Sb 0.000 0.000 0.500
Sb 0.000 0.500 0.878
Sb 0.500 0.000 0.122
Sb 0.500 0.500 0.500

**Density of states at the Fermi level**: 4.21 states/eV per cell
**Symmetry**: P-4m2, No. 115
**M_tot**: 0.000 μB per formula unit
**Calculated density**: 7.25 g/cm3
**Final energy**: -5.327 eV per atom
**Formation energy (no corrections)**: -0.780 eV/atom

=====

Density functional theory data (PBE) for PrNi3Sb2 after structural relaxation.

a b c (Å): 8.419 8.419 10.022
angles (deg): 104.43 104.43 28.89
Fractional positions:
Pr 0.000 0.000 0.000
Pr 0.159 0.159 0.705
Pr 0.841 0.841 0.295
Ni 0.048 0.048 0.376
Ni 0.202 0.202 0.357
Ni 0.345 0.345 0.043
Ni 0.368 0.368 0.803
Ni 0.500 0.500 0.500
Ni 0.632 0.632 0.197
Ni 0.655 0.655 0.957
Ni 0.798 0.798 0.643
Ni 0.952 0.952 0.624
Sb 0.202 0.202 0.104
Sb 0.345 0.345 0.540
Sb 0.479 0.479 0.234
Sb 0.521 0.521 0.766
Sb 0.655 0.655 0.460
Sb 0.798 0.798 0.896

**Density of states at the Fermi level**: 12.89 states/eV per cell
**Symmetry**: C2/m, No. 12
**M_tot**: 0.000 μB per formula unit
**Calculated density**: 8.42 g/cm3
**Final energy**: -5.592 eV per atom
**Formation energy (no corrections)**: -0.531 eV/atom

=====

Density functional theory data (PBE) for PrNiSb after structural relaxation.

a b c (Å): 3.442 3.442 11.253
angles (deg): 90.00 90.00 90.00
Fractional positions:
Pr 0.000 0.000 0.000
Pr 0.500 0.500 0.500
Ni 0.000 0.000 0.679
Ni 0.500 0.500 0.179
Sb 0.000 0.000 0.286
Sb 0.500 0.500 0.786

**Density of states at the Fermi level**: 4.60 states/eV per cell
**Symmetry**: I4mm, No. 107
**M_tot**: 0.000 μB per formula unit
**Calculated density**: 8.01 g/cm3
**Final energy**: -5.247 eV per atom
**Formation energy (no corrections)**: -0.352 eV/atom